1.
# DyHo2Tm2In PBE relaxed
data_DyHo2Tm2In
_space_group_name_H-M_alt 'P 1'
_space_group_IT_number 1
_cell_length_a 5.410
_cell_length_b 9.942
_cell_length_c 6.549
_cell_angle_alpha 90.00
_cell_angle_beta 90.00
_cell_angle_gamma 90.00
loop_
_space_group_symop_operation_xyz
'x,y,z'
loop_
_atom_site_label
_atom_site_fract_x
_atom_site_fract_y
_atom_site_fract_z
Dy1 0.500 0.500 0.000
Dy2 0.000 0.000 0.500
Ho1 0.500 0.809 0.281
Ho2 0.500 0.191 0.719
Ho3 0.000 0.691 0.781
Ho4 0.000 0.309 0.219
Tm1 0.500 0.135 0.210
Tm2 0.000 0.635 0.290
Tm3 0.500 0.865 0.790
Tm4 0.000 0.365 0.710
In1 0.000 0.000 0.000
In2 0.500 0.500 0.500
# Final energy, eV per atom: -4.268
# Space group: Pnnm (58)
# Total moment, μB/cell: 0.0
# Density, g/cm³: 8.91
# Formation enthalpy at 0 K, eV/atom: -0.03



2.
# SrLiMg2Cd PBE relaxed
data_SrLiMg2Cd
_space_group_name_H-M_alt 'P 1'
_space_group_IT_number 1
_cell_length_a 5.125
_cell_length_b 5.125
_cell_length_c 5.127
_cell_angle_alpha 90.00
_cell_angle_beta 90.00
_cell_angle_gamma 90.00
loop_
_space_group_symop_operation_xyz
'x,y,z'
loop_
_atom_site_label
_atom_site_fract_x
_atom_site_fract_y
_atom_site_fract_z
Sr1 0.500 0.500 0.500
Mg1 0.000 0.500 0.000
Mg2 0.500 0.000 0.000
Li1 0.000 0.000 0.000
Cd1 0.000 0.000 0.500
# Final energy, eV per atom: -1.550
# Space group: P4/mmm (123)
# Total moment, μB/cell: 0.0
# Relative energy among the computed polymorphs, eV/atom: 0.000
# Density, g/cm³: 3.15
# Formation enthalpy at 0 K, eV/atom: -0.01



3.
# Li3Ho2TmS6 PBE relaxed
data_Li3Ho2TmS6
_space_group_name_H-M_alt 'P 1'
_space_group_IT_number 1
_cell_length_a 6.726
_cell_length_b 6.726
_cell_length_c 6.559
_cell_angle_alpha 99.83
_cell_angle_beta 99.83
_cell_angle_gamma 120.01
loop_
_space_group_symop_operation_xyz
'x,y,z'
loop_
_atom_site_label
_atom_site_fract_x
_atom_site_fract_y
_atom_site_fract_z
Li1 0.166 0.834 0.500
Li2 0.834 0.166 0.500
Li3 0.500 0.500 0.500
Ho1 0.333 0.667 0.000
Ho2 0.667 0.333 0.000
Tm1 0.000 0.000 0.000
S1 0.917 0.586 0.751
S2 0.752 0.752 0.249
S3 0.083 0.414 0.249
S4 0.586 0.917 0.751
S5 0.248 0.248 0.751
S6 0.414 0.083 0.249
# Final energy, eV per atom: -5.535
# Space group: C2/m (12)
# Total moment, μB/cell: 0.0
# Density, g/cm³: 4.90
# E_form (uncorrected), eV per formula unit: -22.29



4.
# Zr4BiP PBE relaxed
data_Zr4BiP
_space_group_name_H-M_alt 'P 1'
_space_group_IT_number 1
_cell_length_a 5.547
_cell_length_b 7.944
_cell_length_c 7.402
_cell_angle_alpha 114.18
_cell_angle_beta 101.12
_cell_angle_gamma 109.81
loop_
_space_group_symop_operation_xyz
'x,y,z'
loop_
_atom_site_label
_atom_site_fract_x
_atom_site_fract_y
_atom_site_fract_z
Zr1 0.055 0.196 0.829
Zr2 0.786 0.723 0.642
Zr3 0.273 0.632 0.829
Zr4 0.356 0.919 0.642
Zr5 0.644 0.081 0.358
Zr6 0.727 0.368 0.171
Zr7 0.214 0.277 0.358
Zr8 0.945 0.804 0.171
Bi1 0.368 0.618 0.237
Bi2 0.632 0.382 0.763
P1 0.257 0.007 0.013
P2 0.743 0.993 0.987
# Final energy, eV per atom: -7.816
# Space group: C2/c (15)
# Total moment, μB/cell: 0.0
# Density, g/cm³: 7.78
# Formation enthalpy at 0 K, eV/atom: -0.57



5.
# PrHoPuO6 PBE relaxed
data_PrHoPuO6
_space_group_name_H-M_alt 'P 1'
_space_group_IT_number 1
_cell_length_a 5.765
_cell_length_b 5.765
_cell_length_c 9.872
_cell_angle_alpha 90.00
_cell_angle_beta 90.00
_cell_angle_gamma 120.00
loop_
_space_group_symop_operation_xyz
'x,y,z'
loop_
_atom_site_label
_atom_site_fract_x
_atom_site_fract_y
_atom_site_fract_z
Pr1 0.000 0.000 0.000
Pr2 0.000 0.000 0.500
Ho1 0.333 0.667 0.250
Ho2 0.667 0.333 0.750
Pu1 0.667 0.333 0.250
Pu2 0.333 0.667 0.750
O1 0.659 0.634 0.138
O2 0.976 0.341 0.138
O3 0.341 0.976 0.638
O4 0.024 0.659 0.862
O5 0.366 0.341 0.362
O6 0.976 0.634 0.362
O7 0.634 0.976 0.862
O8 0.659 0.024 0.362
O9 0.024 0.366 0.638
O10 0.366 0.024 0.138
O11 0.634 0.659 0.638
O12 0.341 0.366 0.862
# Final energy, eV per atom: -8.981
# Space group: P-31c (163)
# Total moment, μB/cell: 4.0
# Density, g/cm³: 7.55
# E_form (uncorrected), eV per formula unit: -27.39



6.
# DyZrTiN3 PBE relaxed
data_DyZrTiN3
_space_group_name_H-M_alt 'P 1'
_space_group_IT_number 1
_cell_length_a 3.311
_cell_length_b 6.750
_cell_length_c 9.213
_cell_angle_alpha 109.74
_cell_angle_beta 90.00
_cell_angle_gamma 90.00
loop_
_space_group_symop_operation_xyz
'x,y,z'
loop_
_atom_site_label
_atom_site_fract_x
_atom_site_fract_y
_atom_site_fract_z
Dy1 0.750 0.802 0.864
Dy2 0.250 0.198 0.136
Zr1 0.250 0.678 0.135
Zr2 0.750 0.322 0.865
Ti1 0.250 0.999 0.622
Ti2 0.750 0.001 0.378
N1 0.250 0.851 0.391
N2 0.750 0.927 0.136
N3 0.750 0.441 0.125
N4 0.750 0.149 0.609
N5 0.250 0.559 0.875
N6 0.250 0.073 0.864
# Final energy, eV per atom: -9.036
# Space group: P2_1/m (11)
# Total moment, μB/cell: 0.0
# Density, g/cm³: 5.89
# E_form (uncorrected), eV per formula unit: -8.19



7.
# NiAu3 PBE relaxed
data_NiAu3
_space_group_name_H-M_alt 'P 1'
_space_group_IT_number 1
_cell_length_a 2.909
_cell_length_b 4.680
_cell_length_c 4.858
_cell_angle_alpha 90.00
_cell_angle_beta 90.00
_cell_angle_gamma 90.00
loop_
_space_group_symop_operation_xyz
'x,y,z'
loop_
_atom_site_label
_atom_site_fract_x
_atom_site_fract_y
_atom_site_fract_z
Au1 0.000 0.000 0.005
Au2 0.500 0.000 0.491
Au3 0.500 0.500 0.834
Ni1 0.000 0.500 0.337
# Final energy, eV per atom: -3.777
# Space group: Pmm2 (25)
# Total moment, μB/cell: 0.3
# Density, g/cm³: 16.31
# Formation enthalpy at 0 K, eV/atom: 0.13



8.
# Na3Sb3Pt2 PBE relaxed
data_Na3Sb3Pt2
_space_group_name_H-M_alt 'P 1'
_space_group_IT_number 1
_cell_length_a 4.617
_cell_length_b 5.964
_cell_length_c 15.334
_cell_angle_alpha 90.00
_cell_angle_beta 90.00
_cell_angle_gamma 112.77
loop_
_space_group_symop_operation_xyz
'x,y,z'
loop_
_atom_site_label
_atom_site_fract_x
_atom_site_fract_y
_atom_site_fract_z
Na1 0.928 0.856 0.380
Na2 0.072 0.144 0.880
Na3 0.928 0.856 0.120
Na4 0.072 0.144 0.620
Na5 0.635 0.269 0.250
Na6 0.365 0.731 0.750
Sb1 0.633 0.265 0.464
Sb2 0.367 0.735 0.964
Sb3 0.633 0.265 0.036
Sb4 0.367 0.735 0.536
Sb5 0.337 0.675 0.250
Sb6 0.663 0.325 0.750
Pt1 0.786 0.572 0.898
Pt2 0.214 0.428 0.398
Pt3 0.786 0.572 0.602
Pt4 0.214 0.428 0.102
# Final energy, eV per atom: -4.007
# Space group: Cmcm (63)
# Total moment, μB/cell: 0.0
# Relative energy among the computed polymorphs, eV/atom: 0.000
# Density, g/cm³: 7.03
# E_form (uncorrected), eV per formula unit: -3.65